(1)
Here is MnTc2Ni at its PBEsol-relaxed geometry from the Alexandria database. Energies are from meta-GGA SCAN.

Cell lengths 5.816, 5.816, 5.816 Å; angles 90.00, 90.00, 90.00 degrees
Space group Fm-3m (No. 225)
One atom of each set of equivalent atoms:
Mn 0.000 0.000 0.000 [4 per cell]
Tc 0.250 0.250 0.250 [8 per cell]
Ni 0.000 0.000 0.500 [4 per cell]

Results
- Final energy: -25.955 eV/atom
- DOS(E_F): 5.01 states/eV/f.u.

***

(2)
Here is CoReSe2 at its PBEsol-relaxed geometry from the Alexandria database. Energies are from meta-GGA SCAN.

Cell lengths 3.0256, 3.0256, 26.6414 Å; angles 90.00, 90.00, 120.00 degrees
Space group R3m (No. 160, hexagonal axes)
One atom of each set of equivalent atoms:
Co 0.0000 0.0000 0.0000 [3 per cell]
Re 0.0000 0.0000 0.2517 [3 per cell]
Se 0.0000 0.0000 0.5212 [3 per cell]
Se 0.0000 0.0000 0.7192 [3 per cell]

Results
- Uncorrected formation energy: 0.187 eV/atom
- Final energy: -31.952 eV/atom
- DOS(E_F): 2.52 states/eV/f.u.

***

(3)
Here is InPCl at its PBEsol-relaxed geometry from the Alexandria database. Energies are from meta-GGA SCAN.

Cell lengths 4.1122, 4.1122, 4.7856 Å; angles 90.00, 90.00, 120.00 degrees
Space group P3m1 (No. 156)
One atom of each set of equivalent atoms:
In 0.0000 0.0000 0.0000 [1 per cell]
P 0.3333 0.6667 0.8271 [1 per cell]
Cl 0.6667 0.3333 0.3849 [1 per cell]

Results
- Uncorrected formation energy: -0.143 eV/atom
- Final energy: -17.397 eV/atom
- DOS(E_F): 1.05 states/eV/f.u.

***

(4)
Here is BeAsN2O at its PBEsol-relaxed geometry from the Alexandria database. Energies are from meta-GGA SCAN.

Cell lengths 3.673, 3.673, 3.629 Å; angles 90.00, 90.00, 90.00 degrees
Space group P4/mmm (No. 123)
One atom of each set of equivalent atoms:
Be 0.000 0.000 0.000 [1 per cell]
As 0.500 0.500 0.500 [1 per cell]
N 0.000 0.500 0.500 [2 per cell]
O 0.500 0.500 0.000 [1 per cell]

Results
- Uncorrected formation energy: 0.947 eV/atom
- Final energy: -8.924 eV/atom
- DOS(E_F): 2.58 states/eV/f.u.

***

(5)
Here is CaLaTl2H at its PBEsol-relaxed geometry from the Alexandria database. Energies are from meta-GGA SCAN.

Cell lengths 5.422, 5.422, 4.116 Å; angles 90.00, 90.00, 90.00 degrees
Space group P4/mmm (No. 123)
One atom of each set of equivalent atoms:
Ca 0.000 0.000 0.000 [1 per cell]
La 0.500 0.500 0.000 [1 per cell]
Tl 0.000 0.500 0.500 [2 per cell]
H 0.000 0.000 0.500 [1 per cell]

Results
- Final energy: -40.567 eV/atom
- DOS(E_F): 2.04 states/eV/f.u.

***

(6)
Here is Sr2CrCl at its PBEsol-relaxed geometry from the Alexandria database. Energies are from meta-GGA SCAN.

Cell lengths 5.846, 5.846, 3.955 Å; angles 90.00, 90.00, 90.00 degrees
Space group P4/mmm (No. 123)
One atom of each set of equivalent atoms:
Sr 0.000 0.500 0.000 [2 per cell]
Cr 0.000 0.000 0.500 [1 per cell]
Cl 0.500 0.500 0.000 [1 per cell]

Results
- Uncorrected formation energy: -0.635 eV/atom
- Final energy: -18.363 eV/atom
- DOS(E_F): 2.96 states/eV/f.u.

***

(7)
Here is La2VZnO6 at its PBEsol-relaxed geometry from the Alexandria database. Energies are from meta-GGA SCAN.

Cell lengths 5.5744, 5.5744, 13.1886 Å; angles 90.00, 90.00, 120.00 degrees
Space group R-3 (No. 148, hexagonal axes)
One atom of each set of equivalent atoms:
La 0.0000 0.0000 0.2492 [6 per cell]
V 0.0000 0.0000 0.0000 [3 per cell]
Zn 0.0000 0.0000 0.5000 [3 per cell]
O 0.0152 0.4342 0.7481 [18 per cell]

Results
- Uncorrected formation energy: -3.076 eV/atom
- Final energy: -18.536 eV/atom

***

(8)
Here is NaW9O27 at its PBEsol-relaxed geometry from the Alexandria database. Energies are from meta-GGA SCAN.

Cell lengths 9.3453, 9.3453, 19.8141 Å; angles 90.00, 90.00, 120.00 degrees
Space group R-3 (No. 148, hexagonal axes)
One atom of each set of equivalent atoms:
Na 0.0000 0.0000 0.0000 [3 per cell]
W 0.0000 0.0000 0.1679 [6 per cell]
W 0.0000 0.0000 0.5000 [3 per cell]
W 0.0007 0.3319 0.3893 [18 per cell]
O 0.0002 0.1651 0.1100 [18 per cell]
O 0.9998 0.1664 0.4445 [18 per cell]
O 0.0000 0.1669 0.7778 [18 per cell]
O 0.0000 0.5000 0.0000 [9 per cell]
O 0.0030 0.5015 0.6666 [18 per cell]

Results
- Uncorrected formation energy: -2.220 eV/atom
- Final energy: -23.832 eV/atom
- DOS(E_F): 4.41 states/eV/f.u.

***

(9)
Here is NaMg30BiO32 at its PBEsol-relaxed geometry from the Alexandria database. Energies are from meta-GGA SCAN.

Cell lengths 8.534, 8.534, 8.572 Å; angles 90.00, 90.00, 90.00 degrees
Space group P4/mmm (No. 123)
One atom of each set of equivalent atoms:
Na 0.000 0.000 0.000 [1 per cell]
Mg 0.000 0.255 0.240 [8 per cell]
Mg 0.000 0.500 0.000 [2 per cell]
Mg 0.000 0.500 0.500 [2 per cell]
Mg 0.250 0.250 0.000 [4 per cell]
Mg 0.250 0.500 0.248 [8 per cell]
Mg 0.257 0.257 0.500 [4 per cell]
Mg 0.500 0.500 0.000 [1 per cell]
Mg 0.500 0.500 0.500 [1 per cell]
Bi 0.000 0.000 0.500 [1 per cell]
O 0.000 0.000 0.241 [2 per cell]
O 0.000 0.265 0.000 [4 per cell]
O 0.000 0.268 0.500 [4 per cell]
O 0.000 0.500 0.250 [4 per cell]
O 0.249 0.249 0.251 [8 per cell]
O 0.253 0.500 0.000 [4 per cell]
O 0.253 0.500 0.500 [4 per cell]
O 0.500 0.500 0.251 [2 per cell]

Results
- Uncorrected formation energy: -2.856 eV/atom
- Final energy: -9.597 eV/atom
- DOS(E_F): 0.00 states/eV/f.u.

***

(10)
Here is Th2AuF11 at its PBEsol-relaxed geometry from the Alexandria database. Energies are from meta-GGA SCAN.

Cell lengths 11.312, 11.312, 6.278 Å; angles 90.00, 90.00, 90.00 degrees
Space group I4/mcm (No. 140)
One atom of each set of equivalent atoms:
Th 0.144 0.356 0.000 [8 per cell]
Au 0.000 0.000 0.000 [4 per cell]
F 0.000 0.308 0.250 [16 per cell]
F 0.000 0.500 0.000 [4 per cell]
F 0.105 0.134 0.000 [16 per cell]
F 0.250 0.250 0.250 [8 per cell]

Results
- Uncorrected formation energy: -3.455 eV/atom
- Final energy: -24.879 eV/atom
- DOS(E_F): 0.00 states/eV/f.u.

***

(11)
Here is TiRhS3 at its PBEsol-relaxed geometry from the Alexandria database. Energies are from meta-GGA SCAN.

Cell lengths 4.566, 4.566, 4.566 Å; angles 90.00, 90.00, 90.00 degrees
Space group Pm-3m (No. 221)
One atom of each set of equivalent atoms:
Ti 0.000 0.000 0.000 [1 per cell]
Rh 0.500 0.500 0.500 [1 per cell]
S 0.000 0.000 0.500 [3 per cell]

Results
- Uncorrected formation energy: 0.029 eV/atom
- Final energy: -15.708 eV/atom
- DOS(E_F): 4.21 states/eV/f.u.

***

(12)
Here is NiPb2Au at its PBEsol-relaxed geometry from the Alexandria database. Energies are from meta-GGA SCAN.

Cell lengths 3.5699, 3.5699, 22.9685 Å; angles 90.00, 90.00, 120.00 degrees
Space group R-3m (No. 166, hexagonal axes)
One atom of each set of equivalent atoms:
Ni 0.0000 0.0000 0.0000 [3 per cell]
Pb 0.0000 0.0000 0.2590 [6 per cell]
Au 0.0000 0.0000 0.5000 [3 per cell]

Results
- Final energy: -59.015 eV/atom
- DOS(E_F): 2.10 states/eV/f.u.

***

(13)
Here is Na2BeSnAu at its PBEsol-relaxed geometry from the Alexandria database. Energies are from meta-GGA SCAN.

Cell lengths 5.366, 5.366, 4.366 Å; angles 90.00, 90.00, 90.00 degrees
Space group P4/mmm (No. 123)
One atom of each set of equivalent atoms:
Na 0.000 0.500 0.000 [2 per cell]
Be 0.000 0.000 0.500 [1 per cell]
Sn 0.500 0.500 0.500 [1 per cell]
Au 0.000 0.000 0.000 [1 per cell]

Results
- Final energy: -23.418 eV/atom
- DOS(E_F): 2.32 states/eV/f.u.

***

(14)
Here is CoP2 at its PBEsol-relaxed geometry from the Alexandria database. Energies are from meta-GGA SCAN.

Cell lengths 5.314, 5.314, 5.065 Å; angles 90.00, 90.00, 90.00 degrees
Space group I4/mcm (No. 140)
One atom of each set of equivalent atoms:
Co 0.000 0.000 0.250 [4 per cell]
P 0.152 0.348 0.000 [8 per cell]

Results
- Final energy: -12.564 eV/atom
- DOS(E_F): 2.35 states/eV/f.u.

***

(15)
Here is Mg4Te at its PBEsol-relaxed geometry from the Alexandria database. Energies are from meta-GGA SCAN.

Cell lengths 3.8526, 3.8526, 11.7672 Å; angles 90.00, 90.00, 120.00 degrees
Space group P-3m1 (No. 164)
One atom of each set of equivalent atoms:
Mg 0.3333 0.6667 0.1524 [2 per cell]
Mg 0.3333 0.6667 0.4017 [2 per cell]
Te 0.0000 0.0000 0.0000 [1 per cell]

Results
- Uncorrected formation energy: 0.061 eV/atom
- Final energy: -11.369 eV/atom
- DOS(E_F): 2.29 states/eV/f.u.

***

(16)
Here is CuSi2Rh at its PBEsol-relaxed geometry from the Alexandria database. Energies are from meta-GGA SCAN.

Cell lengths 2.867, 3.946, 4.605 Å; angles 90.00, 90.00, 90.00 degrees
Space group Pmmm (No. 47)
One atom of each set of equivalent atoms:
Cu 0.000 0.000 0.000 [1 per cell]
Si 0.000 0.500 0.500 [1 per cell]
Si 0.500 0.500 0.000 [1 per cell]
Rh 0.500 0.000 0.500 [1 per cell]

Results
- Uncorrected formation energy: -0.071 eV/atom
- Final energy: -17.321 eV/atom
- DOS(E_F): 1.62 states/eV/f.u.

***

(17)
Here is Be3Al at its PBEsol-relaxed geometry from the Alexandria database. Energies are from meta-GGA SCAN.

Cell lengths 7.6068, 7.6068, 2.5322 Å; angles 90.00, 90.00, 120.00 degrees
Space group R-3m (No. 166, hexagonal axes)
One atom of each set of equivalent atoms:
Be 0.0000 0.5000 0.0000 [9 per cell]
Al 0.0000 0.0000 0.0000 [3 per cell]

Results
- Final energy: -4.773 eV/atom
- DOS(E_F): 1.25 states/eV/f.u.

***

(18)
Here is TaGa3P at its PBEsol-relaxed geometry from the Alexandria database. Energies are from meta-GGA SCAN.

Cell lengths 4.962, 4.962, 4.962 Å; angles 90.00, 90.00, 90.00 degrees
Space group Pm-3m (No. 221)
One atom of each set of equivalent atoms:
Ta 0.000 0.000 0.000 [1 per cell]
Ga 0.000 0.000 0.500 [3 per cell]
P 0.500 0.500 0.500 [1 per cell]

Results
- Final energy: -24.105 eV/atom
- DOS(E_F): 3.89 states/eV/f.u.

***

(19)
Here is SbMoBr2 at its PBEsol-relaxed geometry from the Alexandria database. Energies are from meta-GGA SCAN.

Cell lengths 3.2167, 3.2167, 31.5374 Å; angles 90.00, 90.00, 120.00 degrees
Space group R-3m (No. 166, hexagonal axes)
One atom of each set of equivalent atoms:
Sb 0.0000 0.0000 0.0000 [3 per cell]
Mo 0.0000 0.0000 0.5000 [3 per cell]
Br 0.0000 0.0000 0.2239 [6 per cell]

Results
- Uncorrected formation energy: 0.137 eV/atom
- Final energy: -27.629 eV/atom
- DOS(E_F): 2.27 states/eV/f.u.

***

(20)
Here is YIrN2F at its PBEsol-relaxed geometry from the Alexandria database. Energies are from meta-GGA SCAN.

Cell lengths 3.717, 3.717, 5.578 Å; angles 90.00, 90.00, 90.00 degrees
Space group P4/mmm (No. 123)
One atom of each set of equivalent atoms:
Y 0.000 0.000 0.000 [1 per cell]
Ir 0.000 0.000 0.500 [1 per cell]
N 0.000 0.500 0.500 [2 per cell]
F 0.500 0.500 0.000 [1 per cell]

Results
- Uncorrected formation energy: -0.570 eV/atom
- Final energy: -24.783 eV/atom
- DOS(E_F): 1.93 states/eV/f.u.